The following is a PBE-GGA calculation of crystalline ZrFeNi2B at its relaxed geometry, from Alexandria via LeMat-Bulk.

```
5
Lattice="-3.8132 0.3403 0.7841 -0.5905 -3.6652 -1.2810 0.6208 -1.3617 3.6099" Properties=species:S:1:pos:R:3 pbc="T T T"
B 0.0000 0.0000 0.0000
Ni 0.3104 -0.6808 1.8050
Zr -1.8915 -2.3433 1.5565
Fe -0.2952 -1.8326 -0.6405
Ni -1.9066 0.1701 0.3920
```

Calculated values
Formation energy from the elements   -31.3 kJ per mole of atoms

=====

The following is a PBE-GGA calculation of crystalline PmDy2Cu at its relaxed geometry, from Alexandria via LeMat-Bulk.

```
16
Lattice="-5.3270 -2.3891 -2.8641 3.7531 -1.8881 -5.4055 1.6674 -8.7840 4.2259" Properties=species:S:1:pos:R:3 pbc="T T T"
Dy -0.2840 -4.9952 -0.0471
Cu -1.3812 -8.1439 0.9736
Dy 2.3508 -5.5993 -2.3421
Dy 1.0170 -11.4353 -2.3757
Pm 4.2396 -8.7798 -2.5659
Pm -1.0523 -4.6795 -3.5261
Dy 0.3774 -8.0659 -3.9967
Dy -0.9236 -1.6258 -1.6680
Pm -4.1462 -4.2814 -1.4779
Cu 1.5357 -3.1042 -1.2728
Pm 1.1456 -8.3817 -0.5177
Cu 1.4745 -4.9173 -5.0174
Dy 1.7112 -2.2298 -3.9631
Dy -2.2574 -7.4619 -1.7016
Cu -1.4423 -9.9569 -2.7709
Dy -1.6178 -10.8313 -0.0806
```

Calculated values
E above lowest polymorph   10 meV per atom
Formation energy from the elements   -8.8 kJ per mole of atoms

=====

The following is a PBE-GGA calculation of crystalline Tb4Si2H at its relaxed geometry, from Alexandria via LeMat-Bulk.

```
7
Lattice="-2.2048 -2.4818 2.9001 1.4192 -3.6420 -2.0377 5.9971 -3.2160 5.1570" Properties=species:S:1:pos:R:3 pbc="T T T"
Tb 3.6784 -3.1601 3.4422
Tb 1.5332 -6.1797 2.5773
Si 3.8896 -6.2366 4.3201
H 0.0000 0.0000 0.0000
Si 1.3219 -3.1033 1.6994
Tb -1.1024 -1.2409 1.4501
Tb 0.7096 -1.8210 -1.0189
```

Calculated values
E above lowest polymorph   24 meV per atom

=====

The following is a PBE-GGA calculation of crystalline Ag7Sn3 at its relaxed geometry, from Alexandria via LeMat-Bulk.

```
10
Lattice="4.2945 0.0000 0.0000 0.0000 6.1939 0.1720 -2.1473 -1.8363 7.4754" Properties=species:S:1:pos:R:3 pbc="T T T"
Ag 2.1473 1.5253 1.5307
Ag 0.0000 2.8323 6.1167
Sn 0.0000 3.1088 3.0326
Sn 0.0000 0.0000 0.0000
Ag 2.1473 4.4549 4.6419
Ag 0.0000 3.0969 0.0860
Ag 2.1473 4.6340 1.6031
Sn 2.1473 1.2488 4.6149
Ag 0.0000 -0.2764 6.0443
Ag 0.0000 -0.0972 3.0055
```

Calculated values
Formation energy from the elements   2.6 kJ per mole of atoms